## Ca2Al2Si (PBE)

Data for a geometry-optimized Ca2Al2Si structure.

Results
V: 133.3 Å³/f.u.
Formation energy without anion corrections: 0.273 eV per atom
Density of states at the Fermi level: 0.79 states/eV/atom

Geometry as CIF:
```
data_Ca2Al2Si
_cell_length_a 8.346
_cell_length_b 8.346
_cell_length_c 3.829
_cell_angle_alpha 90.00
_cell_angle_beta 90.00
_cell_angle_gamma 90.00
_space_group_name_H-M_alt 'P 4/m b m'
_space_group_IT_number 127
_space_group_name_Hall '-P 4 2ab'
loop_
_atom_site_label
_atom_site_type_symbol
_atom_site_fract_x
_atom_site_fract_y
_atom_site_fract_z
Ca1 Ca 0.184 0.316 0.000
Al1 Al 0.113 0.613 0.500
Si1 Si 0.000 0.000 0.000
```